1.
BaGaSeBr2 | PBE | optimized geometry

Its symmetry is No. 123. The offset from the most stable computed form is 0.459 eV per atom.

Cell lengths 6.2614, 6.2614, 6.3468 Å; angles 90.00, 90.00, 90.00 degrees
With the nearest neighbours (Å) after each atom.
Fractional coordinates of all 5 atoms:
Ba: 0.0000 0.0000 0.0000  4 Br 3.13, 2 Se 3.17
Ga: 0.5000 0.5000 0.5000  4 Se 4.43, 8 Br 4.46
Se: 0.0000 0.0000 0.5000  2 Ba 3.17
Br: 0.0000 0.5000 0.0000  2 Ba 3.13
Br: 0.5000 0.0000 0.0000  2 Ba 3.13

2.
BaGaSeBr2 | PBE | optimized geometry

Its symmetry is No. 123. The offset from the most stable computed form is 0.000 eV per atom.

Cell lengths 5.4444, 5.4444, 5.1802 Å; angles 90.00, 90.00, 90.00 degrees
With the nearest neighbours (Å) after each atom.
Fractional coordinates of all 5 atoms:
Ba: 0.0000 0.0000 0.0000  8 Br 3.76, 4 Se 3.85
Ga: 0.5000 0.5000 0.5000  2 Se 2.59, 4 Br 2.72
Se: 0.5000 0.5000 0.0000  2 Ga 2.59
Br: 0.0000 0.5000 0.5000  2 Ga 2.72
Br: 0.5000 0.0000 0.5000  2 Ga 2.72

3.
BaGaTe2Br | PBE | optimized geometry

Its symmetry is No. 123. The electronic total energy is -2.715 eV/atom.

Cell lengths 6.1163, 6.1163, 5.7862 Å; angles 90.00, 90.00, 90.00 degrees
With the nearest neighbours (Å) after each atom.
Fractional coordinates of all 5 atoms:
Ba: 0.0000 0.0000 0.0000  2 Br 2.89
Ga: 0.5000 0.5000 0.0000  8 Te 4.21, 4 Ba 4.32
Te: 0.0000 0.5000 0.5000  2 Br 3.06
Te: 0.5000 0.0000 0.5000  2 Br 3.06
Br: 0.0000 0.0000 0.5000  2 Ba 2.89, 4 Te 3.06

4.
BaUGa2Br8 | PBE | optimized geometry

Its symmetry is No. 2. The electronic total energy is -3.973 eV/atom.

Cell lengths 7.1495, 7.3106, 9.3304 Å; angles 90.03, 90.13, 91.30 degrees
With the nearest neighbours (Å) after each atom.
Fractional coordinates of all 12 atoms:
Ba: 0.0000 0.0000 0.0000  6 Br 3.22-3.28
U: 0.0000 0.0000 0.5000  6 Br 2.73-2.84
Ga: 0.4993 0.4997 0.7661  2 Br 2.90
Ga: 0.5007 0.5003 0.2339  2 Br 2.90
Br: 0.2197 0.3102 0.4990  1 U 2.73
Br: 0.2274 0.8527 0.7196  1 U 2.84
Br: 0.2278 0.8537 0.2812  1 U 2.84
Br: 0.2751 0.3549 0.9999  2 Ga 2.90, 1 Ba 3.22
Br: 0.7249 0.6451 0.0001  2 Ga 2.90, 1 Ba 3.22
Br: 0.7722 0.1463 0.7188  1 U 2.84
Br: 0.7726 0.1473 0.2804  1 U 2.84
Br: 0.7803 0.6898 0.5010  1 U 2.73

5.
Ba2GdBr | PBE | optimized geometry

Its symmetry is No. 166. The electronic total energy is -5.320 eV/atom.

Cell lengths 4.0027, 4.0027, 37.0510 Å; angles 90.00, 90.00, 120.00 degrees
With the nearest neighbours (Å) after each atom.
Fractional coordinates of all 12 atoms:
Ba: 0.0000 0.0000 0.0998  3 Br 3.39, 1 Gd 3.70
Ba: 0.0000 0.0000 0.9002  3 Br 3.39, 1 Gd 3.70
Ba: 0.3333 0.6667 0.5669  3 Br 3.39, 1 Gd 3.70
Ba: 0.3333 0.6667 0.7665  3 Br 3.39, 1 Gd 3.70
Ba: 0.6667 0.3333 0.2335  3 Br 3.39, 1 Gd 3.70
Ba: 0.6667 0.3333 0.4331  3 Br 3.39, 1 Gd 3.70
Gd: 0.0000 0.0000 0.0000  2 Ba 3.70, 6 Gd 4.00
Gd: 0.3333 0.6667 0.6667  2 Ba 3.70, 6 Gd 4.00
Gd: 0.6667 0.3333 0.3333  2 Ba 3.70, 6 Gd 4.00
Br: 0.0000 0.0000 0.5000  6 Ba 3.39
Br: 0.3333 0.6667 0.1667  6 Ba 3.39
Br: 0.6667 0.3333 0.8333  6 Ba 3.39

6.
Ba2GeBr | PBE | optimized geometry

Its symmetry is No. 122. The offset from the most stable computed form is 0.256 eV per atom.

Cell lengths 7.2902, 7.2902, 15.8620 Å; angles 90.00, 90.00, 90.00 degrees
With the nearest neighbours (Å) after each atom.
Fractional coordinates of all 16 atoms:
Ba: 0.2327 0.2500 0.1250  2 Ge 3.18, 2 Br 3.32
Ba: 0.2500 0.7327 0.3750  2 Ge 3.18, 2 Br 3.32
Ba: 0.2500 0.7673 0.8750  2 Ge 3.18, 2 Br 3.32
Ba: 0.2673 0.2500 0.6250  2 Ge 3.18, 2 Br 3.32
Ba: 0.7327 0.7500 0.6250  2 Ge 3.18, 2 Br 3.32
Ba: 0.7500 0.2327 0.8750  2 Ge 3.18, 2 Br 3.32
Ba: 0.7500 0.2673 0.3750  2 Ge 3.18, 2 Br 3.32
Ba: 0.7673 0.7500 0.1250  2 Ge 3.18, 2 Br 3.32
Ge: 0.0000 0.0000 0.0000  4 Ba 3.18
Ge: 0.0000 0.5000 0.2500  4 Ba 3.18
Ge: 0.5000 0.0000 0.7500  4 Ba 3.18
Ge: 0.5000 0.5000 0.5000  4 Ba 3.18
Br: 0.0000 0.0000 0.5000  4 Ba 3.32
Br: 0.0000 0.5000 0.7500  4 Ba 3.32
Br: 0.5000 0.0000 0.2500  4 Ba 3.32
Br: 0.5000 0.5000 0.0000  4 Ba 3.32